[1]
Material: TmCd7Ag5
Method: DFT, PBE
State: optimized geometry

Results
SG   Imm2
Calculated total energy   -2.0218 eV per atom
Calculated volume   20.97 Å³ per atom
Size of the total moment   0.0 μB/f.u.
Formation energy   -0.088 eV per atom

a b c (Å): 7.510 7.510 7.510
angles (deg): 136.03 97.50 98.61
Element x y z (fractional)
1 Tm 0.000 0.000 0.000
2 Cd 0.187 0.489 0.698
3 Cd 0.326 0.983 0.343
4 Cd 0.337 0.337 0.000
5 Cd 0.640 0.983 0.657
6 Cd 0.650 0.650 0.000
7 Cd 0.770 0.270 0.500
8 Cd 0.790 0.489 0.302
9 Ag 0.205 0.705 0.500
10 Ag 0.484 0.485 0.497
11 Ag 0.484 0.988 0.000
12 Ag 0.988 0.485 0.000
13 Ag 0.988 0.988 0.503

[2]
Material: Pm8CuS6
Method: DFT, PBE
State: optimized geometry

Results
Uncorrected formation energy   -1.42 eV per atom
SG   P-3
Calculated total energy   -5.8734 eV per atom
Calculated volume   25.85 Å³ per atom
Size of the total moment   0.0 μB/f.u.

a b c (Å): 10.469 10.469 4.086
angles (deg): 90.00 90.00 120.00
Element x y z (fractional)
1 Pm 0.034 0.700 0.251
2 Pm 0.300 0.334 0.251
3 Pm 0.333 0.667 0.750
4 Pm 0.334 0.034 0.749
5 Pm 0.666 0.966 0.251
6 Pm 0.667 0.333 0.250
7 Pm 0.700 0.666 0.749
8 Pm 0.966 0.300 0.749
9 Cu 0.000 0.000 0.500
10 S 0.135 0.483 0.250
11 S 0.348 0.865 0.250
12 S 0.483 0.348 0.750
13 S 0.517 0.652 0.250
14 S 0.652 0.135 0.750
15 S 0.865 0.517 0.750

[3]
Material: Pr2Mg3Au4
Method: DFT, PBE
State: optimized geometry

Results
SG   Cmce
Calculated total energy   -3.6838 eV per atom
Calculated volume   22.56 Å³ per atom
Size of the total moment   0.0 μB/f.u.
Formation energy   -0.634 eV per atom

a b c (Å): 8.711 8.711 8.060
angles (deg): 90.00 90.00 138.39
Element x y z (fractional)
1 Pr 0.109 0.891 0.911
2 Pr 0.391 0.609 0.411
3 Pr 0.609 0.391 0.589
4 Pr 0.891 0.109 0.089
5 Mg 0.000 0.000 0.500
6 Mg 0.030 0.470 0.750
7 Mg 0.470 0.030 0.250
8 Mg 0.500 0.500 0.000
9 Mg 0.530 0.970 0.750
10 Mg 0.970 0.530 0.250
11 Au 0.181 0.819 0.539
12 Au 0.199 0.301 0.750
13 Au 0.301 0.199 0.250
14 Au 0.319 0.681 0.039
15 Au 0.681 0.319 0.961
16 Au 0.699 0.801 0.750
17 Au 0.801 0.699 0.250
18 Au 0.819 0.181 0.461

[4]
Material: KScHg2
Method: DFT, PBE
State: optimized geometry

Results
SG   C2/m
Calculated total energy   -2.0982 eV per atom
Calculated volume   30.60 Å³ per atom
Size of the total moment   0.0 μB/f.u.
Formation energy   -0.090 eV per atom

a b c (Å): 4.744 4.744 8.065
angles (deg): 98.55 98.55 43.10
Element x y z (fractional)
1 K 0.000 0.000 0.000
2 Sc 0.500 0.500 0.500
3 Hg 0.235 0.235 0.686
4 Hg 0.765 0.765 0.314